Model w:
Os2SeBr | meta-GGA SCAN | PBEsol geometry

The structure in extended XYZ format:
```
4
Lattice="-0.714 -2.587 -0.842 5.000 -1.198 1.087 -3.282 0.870 3.986" Properties=species:S:1:pos:R:3 pbc="T T T"
Os -1.641 0.435 1.993
Os 0.502 -1.458 2.116
Se 2.143 -1.893 0.122
Br 0.000 0.000 0.000
```

## Properties
DOS at the Fermi energy: 1.15 states/eV/atom

***

Model x:
Os2SeBr | meta-GGA SCAN | PBEsol geometry

The structure in extended XYZ format:
```
4
Lattice="2.845 0.000 0.000 0.000 4.363 0.000 0.000 0.000 5.184" Properties=species:S:1:pos:R:3 pbc="T T T"
Os 0.000 0.000 0.000
Os 1.422 0.000 2.592
Br 0.000 2.181 2.592
Se 1.422 2.181 0.000
```

## Properties
DOS at the Fermi energy: 1.06 states/eV/atom

***

Stability summary - winner: model w; margin: 26 meV per atom.